## Zn2Ir (PBEsol)

Data for an optimized crystal structure of Zn2Ir.

* E_form: -0.15 eV/atom
* space group: Immm (71)
* DFT total energy: -4.476 eV per atom

Unit cell a=4.5923 b=4.5923 c=4.5923 alpha=143.71 beta=133.96 gamma=59.99
Closest atoms and distances in Å follow each position.
Sites, in units of the cell vectors:
Zn: 0.1623 0.1623 0.0000  7 Zn 2.58-2.86, 5 Ir 2.63-2.69
Zn: 0.8377 0.8377 0.0000  7 Zn 2.58-2.86, 5 Ir 2.63-2.69
Ir: 0.5000 0.5000 0.0000  10 Zn 2.63-2.69, 2 Ir 2.86